No. 1
Compound: PaTlMo
Source: the Open Quantum Materials Database
Functional: GGA-PBE
Structure: relaxed

Summary:
* raw total energy: -6.43 eV/atom
* crystal system: cubic

a b c (Å): 4.7937 4.7937 4.7937
angles (deg): 60.00 60.00 60.00
Element x y z (fractional)
Pa1 0.0000 0.0000 0.0000
Tl1 0.7500 0.7500 0.7500
Mo1 0.5000 0.5000 0.5000

=====

No. 2
Compound: AlTl2Os
Source: the Open Quantum Materials Database
Functional: GGA-PBE
Structure: relaxed

Summary:
* raw total energy: -4.06 eV/atom
* crystal system: cubic

a b c (Å): 4.8576 4.8576 4.8576
angles (deg): 60.00 60.00 60.00
Element x y z (fractional)
Al1 0.0000 0.0000 0.0000
Tl1 0.5000 0.5000 0.5000
Tl2 0.7500 0.7500 0.7500
Os1 0.2500 0.2500 0.2500

=====

No. 3
Compound: Ni16Te
Source: the Open Quantum Materials Database
Functional: GGA-PBE
Structure: relaxed

Summary:
* crystal system: monoclinic
* offset from the most stable computed form: 151 meV per atom

a b c (Å): 10.4050 2.5897 28.0042
angles (deg): 90.00 90.66 90.00
Element x y z (fractional)
Ni1 0.0238 0.2500 0.2210
Ni2 0.0279 0.2500 0.9637
Ni3 0.0836 0.7500 0.1520
Ni4 0.0839 0.7500 0.8912
Ni5 0.1383 0.2500 0.0799
Ni6 0.1416 0.2500 0.8174
Ni7 0.1942 0.7500 0.0075
Ni8 0.2476 0.2500 0.1971
Ni9 0.2499 0.2500 0.9351
Ni10 0.3040 0.7500 0.8627
Ni11 0.3053 0.7500 0.1228
Ni12 0.3591 0.2500 0.7915
Ni13 0.3610 0.2500 0.0507
Ni14 0.4162 0.7500 0.9785
Ni15 0.4723 0.2500 0.1658
Ni16 0.4718 0.2500 0.9064
Ni17 0.5282 0.7500 0.0936
Ni18 0.5277 0.7500 0.8342
Ni19 0.5838 0.2500 0.0215
Ni20 0.6390 0.7500 0.9493
Ni21 0.6409 0.7500 0.2085
Ni22 0.6947 0.2500 0.8772
Ni23 0.6960 0.2500 0.1373
Ni24 0.7501 0.7500 0.0649
Ni25 0.7524 0.7500 0.8029
Ni26 0.8058 0.2500 0.9925
Ni27 0.8584 0.7500 0.1826
Ni28 0.8617 0.7500 0.9201
Ni29 0.9161 0.2500 0.1088
Ni30 0.9164 0.2500 0.8480
Ni31 0.9721 0.7500 0.0363
Ni32 0.9762 0.7500 0.7790
Te1 0.4192 0.7500 0.2494
Te2 0.5808 0.2500 0.7506

=====

No. 4
Compound: Y3Hf3Sb2Os
Source: the Open Quantum Materials Database
Functional: GGA-PBE
Structure: relaxed

Summary:
* crystal system: hexagonal
* offset from the most stable computed form: 0 meV per atom

a b c (Å): 7.8931 7.8931 4.0744
angles (deg): 90.00 90.00 120.00
Element x y z (fractional)
Y1 0.0000 0.5990 0.0000
Y2 0.4010 0.4010 0.0000
Y3 0.5990 0.0000 0.0000
Hf1 0.0000 0.2286 0.5000
Hf2 0.2286 0.0000 0.5000
Hf3 0.7714 0.7714 0.5000
Sb1 0.3333 0.6667 0.5000
Sb2 0.6667 0.3333 0.5000
Os1 0.0000 0.0000 0.0000

=====

No. 5
Compound: NdY2Tl3Ni3
Source: the Open Quantum Materials Database
Functional: GGA-PBE
Structure: relaxed

Summary:
* raw total energy: -4.95 eV/atom
* crystal system: orthorhombic

a b c (Å): 3.8219 7.6070 7.6070
angles (deg): 119.75 90.00 90.00
Element x y z (fractional)
Nd1 0.0000 0.0000 0.0000
Y1 0.0000 0.1830 0.5905
Y2 0.0000 0.5905 0.1830
Tl1 0.5000 0.3359 0.3359
Tl2 0.5000 0.5867 0.8494
Tl3 0.5000 0.8494 0.5867
Ni1 0.0000 0.5903 0.5903
Ni2 0.5000 0.2584 0.9228
Ni3 0.5000 0.9228 0.2584

=====

No. 6
Compound: SrPtO3
Source: the Open Quantum Materials Database
Functional: GGA-PBE
Structure: relaxed

Summary:
* raw total energy: -5.95 eV/atom
* crystal system: trigonal

a b c (Å): 6.1545 6.1545 6.1545
angles (deg): 53.99 53.99 53.99
Element x y z (fractional)
Sr1 0.1348 0.1348 0.1348
Sr2 0.8652 0.8652 0.8652
Pt1 0.3374 0.3374 0.3374
Pt2 0.6626 0.6626 0.6626
O1 0.0574 0.6988 0.4512
O2 0.3012 0.5488 0.9426
O3 0.4512 0.0574 0.6988
O4 0.5488 0.9426 0.3012
O5 0.6988 0.4512 0.0574
O6 0.9426 0.3012 0.5488

=====

No. 7
Compound: Cu2Ag3
Source: the Open Quantum Materials Database
Functional: GGA-PBE
Structure: relaxed

Summary:
* crystal system: monoclinic
* calculated formation energy: 0.099 eV per atom
* offset from the most stable computed form: 67 meV per atom

a b c (Å): 7.3999 7.3999 4.8616
angles (deg): 96.49 96.49 141.37
Element x y z (fractional)
Cu1 0.0000 0.0000 0.0000
Cu2 0.0949 0.9051 0.5000
Cu3 0.7027 0.2973 0.5000
Cu4 0.9067 0.0933 0.5000
Ag1 0.1932 0.8068 0.0000
Ag2 0.2956 0.7044 0.5000
Ag3 0.4033 0.5967 0.0000
Ag4 0.5051 0.4949 0.5000
Ag5 0.6036 0.3964 0.0000
Ag6 0.8062 0.1938 0.0000

=====

No. 8
Compound: FeCoBW
Source: the Open Quantum Materials Database
Functional: GGA-PBE
Structure: relaxed

Summary:
* crystal system: cubic
* offset from the most stable computed form: 57 meV per atom

a b c (Å): 3.9638 3.9638 3.9638
angles (deg): 60.00 60.00 60.00
Element x y z (fractional)
Fe1 0.0000 0.0000 0.0000
Co1 0.5000 0.5000 0.5000
B1 0.2500 0.2500 0.2500
W1 0.7500 0.7500 0.7500

=====

no.,V (Å³ per cell)
1,77.9
2,81.1
3,754.6
4,219.8
5,192.0
6,141.7
7,156.2
8,44.0